Li2VPt3 after structural relaxation. Source: Alexandria, functional PBE.

Cell lengths 2.821, 2.821, 10.237 Å; angles 90.00, 90.00, 90.00 degrees
Fractional positions:
Li (0.000, 0.000, 0.156)
Li (0.000, 0.000, 0.844)
V (0.000, 0.000, 0.500)
Pt (0.500, 0.500, 0.000)
Pt (0.500, 0.500, 0.328)
Pt (0.500, 0.500, 0.672)

Summary:
For the formation energy, the calculation gives -321 kJ/mol of formula units.